A plane-wave DFT calculation with PBE-GGA was carried out for a relaxed structure of PmTmLu.

```
PmTmLu
1.0
3.431 0.000 0.000
0.000 5.609 0.000
0.000 -2.804 4.857
Lu Tm Pm
1 1 1
Cartesian
0.571 0.000 0.000 Lu
0.573 0.000 3.238 Tm
2.287 2.804 1.619 Pm
```

The calculation puts the formation energy at 0.08 eV per atom. The value obtained for the energy relative to the lowest polymorph listed for this composition is 54.1 meV/atom. The total energy comes out at -4.50 eV per atom.